(1)
# AlV2HPt | Alexandria via LeMat-Bulk | PBE | relaxed
# - Space group: P4/mmm (123)
data_AlV2HPt
_chemical_formula_sum 'Al1 V2 H1 Pt1'
_space_group_name_H-M_alt 'P 1'
_space_group_IT_number 1
_space_group_name_Hall 'P 1'
_cell_length_a 3.667
_cell_length_b 3.667
_cell_length_c 4.356
_cell_angle_alpha 90.00
_cell_angle_beta 90.00
_cell_angle_gamma 90.00
loop_
_atom_site_label
_atom_site_type_symbol
_atom_site_fract_x
_atom_site_fract_y
_atom_site_fract_z
_atom_site_occupancy
Al1 Al 0.000 0.000 0.000 1
V1 V 0.000 0.500 0.500 1
V2 V 0.500 0.000 0.500 1
H1 H 0.000 0.000 0.500 1
Pt1 Pt 0.500 0.500 0.000 1

---

(2)
# Pr2Zn3GaCu4 | Alexandria via LeMat-Bulk | PBE | relaxed
# - ΔH_f (0 K): -0.261 eV/atom
# - Space group: P-4m2 (115)
data_Pr2Zn3GaCu4
_chemical_formula_sum 'Pr2 Zn3 Ga1 Cu4'
_space_group_name_H-M_alt 'P 1'
_space_group_IT_number 1
_space_group_name_Hall 'P 1'
_cell_length_a 4.192
_cell_length_b 4.192
_cell_length_c 10.401
_cell_angle_alpha 90.00
_cell_angle_beta 90.00
_cell_angle_gamma 90.00
loop_
_atom_site_label
_atom_site_type_symbol
_atom_site_fract_x
_atom_site_fract_y
_atom_site_fract_z
_atom_site_occupancy
Pr1 Pr 0.000 0.500 0.248 1
Pr2 Pr 0.500 0.000 0.752 1
Zn1 Zn 0.000 0.000 0.000 1
Zn2 Zn 0.000 0.500 0.628 1
Zn3 Zn 0.500 0.000 0.372 1
Ga1 Ga 0.500 0.500 0.000 1
Cu1 Cu 0.000 0.000 0.500 1
Cu2 Cu 0.000 0.500 0.866 1
Cu3 Cu 0.500 0.000 0.134 1
Cu4 Cu 0.500 0.500 0.500 1

---

| no. | E (eV/atom) |
| --- | --- |
| 1 | -6.693 |
| 2 | -3.540 |